HfZrAs3 | SCAN | PBEsol geometry

Results
SG = Pm-3m
Fermi-level density of states = 3.253 states/eV/f.u.

Lattice parameters (Å, degrees): 4.9905 4.9905 4.9905 90.00 90.00 90.00
Atoms (fractional coordinates):
As  0.5000  0.0000  0.0000
As  0.0000  0.0000  0.5000
As  0.0000  0.5000  0.0000
Zr  0.0000  0.0000  0.0000
Hf  0.5000  0.5000  0.5000

HfZr2As2 | SCAN | PBEsol geometry

Results
SG = P4/mbm
Fermi-level density of states = 1.608 states/eV/f.u.

Lattice parameters (Å, degrees): 3.6350 7.1522 7.1522 90.00 90.00 90.00
Atoms (fractional coordinates):
Zr  0.5000  0.3414  0.1586
Zr  0.5000  0.1586  0.6586
Zr  0.5000  0.6586  0.8414
Zr  0.5000  0.8414  0.3414
As  0.0000  0.3573  0.8573
As  0.0000  0.6427  0.1427
As  0.0000  0.1427  0.3573
As  0.0000  0.8573  0.6427
Hf  0.0000  0.0000  0.0000
Hf  0.0000  0.5000  0.5000

HgAs | SCAN | PBEsol geometry

Results
SG = F-43m
Fermi-level density of states = 1.321 states/eV/f.u.

Lattice parameters (Å, degrees): 4.2569 4.2569 4.2569 60.00 60.00 60.00
Atoms (fractional coordinates):
Hg  0.2500  0.2500  0.2500
As  0.0000  0.0000  0.0000

Hg3As | SCAN | PBEsol geometry

Results
SG = I4/mmm
Fermi-level density of states = 1.544 states/eV/f.u.

Lattice parameters (Å, degrees): 4.2027 4.2027 5.7361 111.49 111.49 90.00
Atoms (fractional coordinates):
As  0.0000  0.0000  0.0000
Hg  0.5000  0.5000  0.0000
Hg  0.7500  0.2500  0.5000
Hg  0.2500  0.7500  0.5000

HgAs | SCAN | PBEsol geometry

Results
SG = P6_3/mmc
Fermi-level density of states = 0.346 states/eV/f.u.

Lattice parameters (Å, degrees): 4.8091 4.8091 10.5951 90.00 90.00 120.00
Atoms (fractional coordinates):
As  0.6667  0.3333  0.4932
As  0.3333  0.6667  0.5068
As  0.6667  0.3333  0.0068
As  0.3333  0.6667  0.9932
Hg  0.6667  0.3333  0.2500
Hg  0.0000  0.0000  0.2500
Hg  0.0000  0.0000  0.7500
Hg  0.3333  0.6667  0.7500

HgAs | SCAN | PBEsol geometry

Results
SG = P-3m1
Fermi-level density of states = 0.114 states/eV/f.u.

Lattice parameters (Å, degrees): 3.5360 3.5360 9.2284 90.00 90.00 120.00
Atoms (fractional coordinates):
Hg  0.6667  0.3333  0.3660
Hg  0.3333  0.6667  0.6340
As  0.6667  0.3333  0.9230
As  0.3333  0.6667  0.0770

HgAs | SCAN | PBEsol geometry

Results
SG = R-3m
Fermi-level density of states = 0.616 states/eV/f.u.

Lattice parameters (Å, degrees): 3.7091 3.7091 7.9379 76.49 76.49 60.00
Atoms (fractional coordinates):
As  0.1363  0.1363  0.5912
As  0.8637  0.8637  0.4088
Hg  0.3784  0.3784  0.8649
Hg  0.6216  0.6216  0.1351

Hg2AsI | SCAN | PBEsol geometry

Results
SG = I-42d
Formation energy from raw total energies = -112 meV per atom
Fermi-level density of states = 0.441 states/eV/f.u.

Lattice parameters (Å, degrees): 6.3940 6.3940 7.9816 113.61 113.61 90.00
Atoms (fractional coordinates):
Hg  0.4547  0.8750  0.2500
Hg  0.1250  0.2047  0.7500
Hg  0.6250  0.5453  0.7500
Hg  0.7953  0.3750  0.2500
I  0.0000  0.0000  0.0000
I  0.2500  0.7500  0.5000
As  0.5000  0.5000  0.0000
As  0.7500  0.2500  0.5000

HgAsI2 | SCAN | PBEsol geometry

Results
SG = Fm-3m
Formation energy from raw total energies = 559 meV per atom
Fermi-level density of states = 2.756 states/eV/f.u.

Lattice parameters (Å, degrees): 5.3188 5.3188 5.3188 60.00 60.00 60.00
Atoms (fractional coordinates):
I  0.2500  0.2500  0.2500
I  0.7500  0.7500  0.7500
As  0.0000  0.0000  0.0000
Hg  0.5000  0.5000  0.5000

Hg4AsI5 | SCAN | PBEsol geometry

Results
SG = Cmce
Formation energy from raw total energies = -242 meV per atom

Lattice parameters (Å, degrees): 8.4589 8.4589 19.7523 90.00 90.00 90.62
Atoms (fractional coordinates):
As  0.8952  0.1048  0.7495
As  0.6048  0.3952  0.2495
As  0.3952  0.6048  0.7505
As  0.1048  0.8952  0.2505
Hg  0.7703  0.5629  0.3284
Hg  0.2305  0.7695  0.8292
Hg  0.4371  0.2297  0.3284
Hg  0.2695  0.7305  0.3292
Hg  0.9421  0.0579  0.3311
Hg  0.7305  0.2695  0.6708
Hg  0.0629  0.2703  0.8284
Hg  0.5579  0.4421  0.8311
Hg  0.7695  0.2305  0.1708
Hg  0.0579  0.9421  0.6689
Hg  0.7297  0.9371  0.8284
Hg  0.5629  0.7703  0.6716
Hg  0.4421  0.5579  0.1689
Hg  0.9371  0.7297  0.1716
Hg  0.2297  0.4371  0.6716
Hg  0.2703  0.0629  0.1716
I  0.9349  0.0651  0.0809
I  0.7227  0.2773  0.9212
I  0.3920  0.1080  0.7500
I  0.2227  0.7773  0.5788
I  0.4349  0.5651  0.4191
I  0.0600  0.2827  0.5789
I  0.5651  0.4349  0.5809
I  0.4400  0.2173  0.0789
I  0.7773  0.2227  0.4212
I  0.7173  0.9400  0.5789
I  0.1080  0.3920  0.2500
I  0.7827  0.5600  0.0789
I  0.5600  0.7827  0.9211
I  0.0651  0.9349  0.9191
I  0.8920  0.6080  0.7500
I  0.2173  0.4400  0.9211
I  0.9400  0.7173  0.4211
I  0.2827  0.0600  0.4211
I  0.2773  0.7227  0.0788
I  0.6080  0.8920  0.2500

SnHg7As4I6 | SCAN | PBEsol geometry

Results
SG = P2_13
Formation energy from raw total energies = -218 meV per atom

Lattice parameters (Å, degrees): 13.1301 13.1301 13.1301 90.00 90.00 90.00
Atoms (fractional coordinates):
As  0.9268  0.0732  0.5732
As  0.6527  0.3473  0.8473
As  0.5668  0.0668  0.4332
As  0.5732  0.9268  0.0732
As  0.9332  0.9332  0.9332
As  0.1527  0.1527  0.1527
As  0.0333  0.9667  0.4667
As  0.4667  0.0333  0.9667
As  0.4332  0.5668  0.0668
As  0.4268  0.4268  0.4268
As  0.9667  0.4667  0.0333
As  0.0732  0.5732  0.9268
As  0.8473  0.6527  0.3473
As  0.0668  0.4332  0.5668
As  0.3473  0.8473  0.6527
As  0.5333  0.5333  0.5333
Hg  0.9188  0.8227  0.4048
Hg  0.8227  0.4048  0.9188
Hg  0.5430  0.4570  0.9570
Hg  0.5952  0.4188  0.6773
Hg  0.4987  0.2473  0.4379
Hg  0.1773  0.9048  0.5812
Hg  0.7473  0.0621  0.5013
Hg  0.9048  0.5812  0.1773
Hg  0.0812  0.3227  0.0952
Hg  0.4379  0.4987  0.2473
Hg  0.4188  0.6773  0.5952
Hg  0.0013  0.7527  0.9379
Hg  0.9379  0.0013  0.7527
Hg  0.4570  0.9570  0.5430
Hg  0.3227  0.0952  0.0812
Hg  0.6773  0.5952  0.4188
Hg  0.5621  0.9987  0.2527
Hg  0.4048  0.9188  0.8227
Hg  0.0621  0.5013  0.7473
Hg  0.9570  0.5430  0.4570
Hg  0.2527  0.5621  0.9987
Hg  0.0430  0.0430  0.0430
Hg  0.9987  0.2527  0.5621
Hg  0.2473  0.4379  0.4987
Hg  0.5013  0.7473  0.0621
Hg  0.0952  0.0812  0.3227
Hg  0.7527  0.9379  0.0013
Hg  0.5812  0.1773  0.9048
I  0.0092  0.7690  0.6834
I  0.6886  0.4515  0.2013
I  0.1886  0.0485  0.7987
I  0.2310  0.1834  0.4908
I  0.2690  0.8166  0.9908
I  0.3166  0.5092  0.7310
I  0.5485  0.7013  0.8114
I  0.8114  0.5485  0.7013
I  0.7690  0.6834  0.0092
I  0.6834  0.0092  0.7690
I  0.4515  0.2013  0.6886
I  0.0485  0.7987  0.1886
I  0.1834  0.4908  0.2310
I  0.4908  0.2310  0.1834
I  0.9515  0.2987  0.3114
I  0.7987  0.1886  0.0485
I  0.7310  0.3166  0.5092
I  0.2013  0.6886  0.4515
I  0.8166  0.9908  0.2690
I  0.2987  0.3114  0.9515
I  0.3114  0.9515  0.2987
I  0.5092  0.7310  0.3166
I  0.9908  0.2690  0.8166
I  0.7013  0.8114  0.5485
Sn  0.7369  0.2369  0.2631
Sn  0.2631  0.7369  0.2369
Sn  0.7631  0.7631  0.7631
Sn  0.2369  0.2631  0.7369

HgTeAsI2 | SCAN | PBEsol geometry

Results
SG = P4/mmm
Formation energy from raw total energies = 696 meV per atom
Fermi-level density of states = 2.425 states/eV/f.u.

Lattice parameters (Å, degrees): 5.6148 5.6148 5.7436 90.00 90.00 90.00
Atoms (fractional coordinates):
I  0.0000  0.5000  0.0000
I  0.5000  0.0000  0.0000
Hg  0.0000  0.0000  0.0000
Te  0.0000  0.0000  0.5000
As  0.5000  0.5000  0.5000

Number 1: uncorrected energy -30.32 eV per atom. Number 2: uncorrected energy -33.98 eV per atom. Number 3: uncorrected energy -43.90 eV per atom. Number 4: uncorrected energy -55.87 eV per atom. Number 5: uncorrected energy -43.97 eV per atom. Number 6: uncorrected energy -44.15 eV per atom. Number 7: uncorrected energy -44.12 eV per atom. Number 8: uncorrected energy -48.43 eV per atom. Number 9: uncorrected energy -39.90 eV per atom. Number 10: uncorrected energy -47.90 eV per atom. Number 11: uncorrected energy -45.46 eV per atom. Number 12: uncorrected energy -39.12 eV per atom.